1.
Here is a geometry-optimized Sm2Ge4Pt3Rh structure from Alexandria via LeMat-Bulk. Energies are from PBE-GGA.

a b c (Å): 4.271 4.271 10.354
angles (deg): 90.00 90.00 90.00
Atoms (fractional coordinates):
Pt  0.000  0.000  0.500
Pt  0.500  0.000  0.868
Pt  0.000  0.500  0.132
Sm  0.000  0.500  0.751
Sm  0.500  0.000  0.249
Ge  0.500  0.000  0.631
Ge  0.000  0.000  0.000
Ge  0.000  0.500  0.369
Ge  0.500  0.500  0.000
Rh  0.500  0.500  0.500

Density = 11251 kg/m³
Formation energy = -0.920 eV per atom
Volume = 18.88 Å³ per atom
E_tot = -6.258 eV/atom

***

2.
Here is a geometry-optimized CsCd2In structure from Alexandria via LeMat-Bulk. Energies are from PBE-GGA.

a b c (Å): 4.015 4.015 8.695
angles (deg): 90.00 90.00 90.00
Atoms (fractional coordinates):
Cd  0.000  0.000  0.181
Cd  0.000  0.000  0.819
In  0.500  0.500  0.000
Cs  0.500  0.500  0.500

Density = 5598 kg/m³
Formation energy = 0.030 eV per atom
Volume = 35.04 Å³ per atom
E_tot = -1.325 eV/atom

***

3.
Here is a geometry-optimized ZnPt2W structure from Alexandria via LeMat-Bulk. Energies are from PBE-GGA.

a b c (Å): 5.474 5.474 7.206
angles (deg): 67.68 67.68 90.00
Atoms (fractional coordinates):
Pt  0.122  0.625  0.250
Pt  0.628  0.125  0.250
Pt  0.375  0.372  0.750
Pt  0.875  0.878  0.750
W  0.750  0.250  0.500
W  0.000  0.000  0.000
Zn  0.500  0.500  0.000
Zn  0.250  0.750  0.500

Density = 11659 kg/m³
Formation energy = 0.615 eV per atom
Volume = 22.77 Å³ per atom
E_tot = -5.962 eV/atom

***

4.
Here is a geometry-optimized Ca2ZnIn8 structure from Alexandria via LeMat-Bulk. Energies are from PBE-GGA.

a b c (Å): 4.917 4.917 11.907
angles (deg): 90.00 90.00 90.00
Atoms (fractional coordinates):
In  0.000  0.500  0.129
In  0.500  0.000  0.871
In  0.000  0.500  0.871
In  0.500  0.000  0.129
In  0.500  0.000  0.500
In  0.000  0.500  0.500
In  0.500  0.500  0.698
In  0.500  0.500  0.302
Zn  0.000  0.000  0.000
Ca  0.000  0.000  0.312
Ca  0.000  0.000  0.688

Density = 6138 kg/m³
Formation energy = -0.218 eV per atom
Volume = 26.17 Å³ per atom
E_tot = -2.690 eV/atom

***

5.
Here is a geometry-optimized CrOs2Se structure from Alexandria via LeMat-Bulk. Energies are from PBE-GGA.

a b c (Å): 4.922 4.922 4.342
angles (deg): 88.27 88.27 34.07
Atoms (fractional coordinates):
Os  0.993  0.993  0.988
Os  0.721  0.721  0.792
Se  0.505  0.505  0.480
Cr  0.282  0.282  0.239

Density = 14415 kg/m³
E_form (uncorrected) = 0.49 eV per atom
Volume = 14.73 Å³ per atom
E_tot = -8.399 eV/atom

***

6.
Here is a geometry-optimized NaBIr structure from Alexandria via LeMat-Bulk. Energies are from PBE-GGA.

a b c (Å): 4.236 4.237 5.761
angles (deg): 106.67 107.01 101.88
Atoms (fractional coordinates):
Na  0.500  0.000  0.000
Na  0.000  0.500  0.000
Ir  0.210  0.291  0.500
Ir  0.790  0.709  0.500
B  0.673  0.173  0.500
B  0.327  0.827  0.500

Density = 8355 kg/m³
Formation energy = -0.212 eV per atom
Volume = 14.97 Å³ per atom
E_tot = -5.831 eV/atom

***

7.
Here is a geometry-optimized PrMg3Cu structure from Alexandria via LeMat-Bulk. Energies are from PBE-GGA.

a b c (Å): 4.742 4.842 5.848
angles (deg): 114.45 90.00 90.00
Atoms (fractional coordinates):
Cu  0.500  0.379  0.759
Mg  0.500  0.738  0.475
Mg  0.000  0.544  0.089
Mg  0.000  0.263  0.527
Pr  0.500  0.035  0.070

Density = 3768 kg/m³
Formation energy = -0.021 eV per atom
Volume = 24.45 Å³ per atom
E_tot = -2.753 eV/atom
Relative energy among the computed polymorphs = 0.116 eV/atom

***

8.
Here is a geometry-optimized AcGa8Tc4 structure from Alexandria via LeMat-Bulk. Energies are from PBE-GGA.

a b c (Å): 5.291 7.017 7.018
angles (deg): 81.83 67.85 67.85
Atoms (fractional coordinates):
Tc  0.500  0.000  0.500
Tc  0.000  0.500  0.000
Tc  0.500  0.500  0.000
Tc  0.000  0.000  0.500
Ga  0.500  0.763  0.237
Ga  0.000  0.350  0.650
Ga  0.737  0.763  0.763
Ga  0.650  0.350  0.350
Ga  0.000  0.650  0.350
Ga  0.500  0.237  0.763
Ga  0.263  0.237  0.237
Ga  0.350  0.650  0.650
Ac  0.000  0.000  0.000

Density = 8742 kg/m³
Formation energy = -0.244 eV per atom
Volume = 17.19 Å³ per atom
E_tot = -5.612 eV/atom